[1]
# HfZrBe4, relaxed, DFT GGA-PBE
data_HfZrBe4
_chemical_formula_sum 'Hf2 Zr2 Be8'
_space_group_name_H-M_alt 'I m m m'
_space_group_IT_number 71
_space_group_name_Hall '-I 2 2'
_cell_length_a 3.8017
_cell_length_b 6.4220
_cell_length_c 6.5805
_cell_angle_alpha 90.00
_cell_angle_beta 90.00
_cell_angle_gamma 90.00
loop_
_atom_site_label
_atom_site_type_symbol
_atom_site_fract_x
_atom_site_fract_y
_atom_site_fract_z
Hf1 Hf 0.0000 0.0000 0.0000
Zr1 Zr 0.0000 0.5000 0.0000
Be1 Be 0.0000 0.2551 0.3331
# **Fermi-level density of states**: 7.34 states/eV/cell
# **Energy above the lowest structure with this stoichiometry**: 0.0000 eV per atom
# **Energy of formation**: -0.17 eV/atom

***

[2]
# FeAs2PtBr, relaxed, DFT GGA-PBE
data_FeAs2PtBr
_chemical_formula_sum 'Fe1 As2 Pt1 Br1'
_space_group_name_H-M_alt 'P 4/m m m'
_space_group_IT_number 123
_space_group_name_Hall '-P 4 2'
_cell_length_a 4.4356
_cell_length_b 4.4356
_cell_length_c 4.9982
_cell_angle_alpha 90.00
_cell_angle_beta 90.00
_cell_angle_gamma 90.00
loop_
_atom_site_label
_atom_site_type_symbol
_atom_site_fract_x
_atom_site_fract_y
_atom_site_fract_z
Fe1 Fe 0.0000 0.0000 0.0000
As1 As 0.0000 0.5000 0.0000
Pt1 Pt 0.5000 0.5000 0.5000
Br1 Br 0.0000 0.0000 0.5000
# **ΔE_f (raw)**: 0.667 eV per atom
# **Fermi-level density of states**: 5.05 states/eV/cell
# **Energy above the lowest structure with this stoichiometry**: 0.0000 eV per atom

***

[3]
# CrP2Se, relaxed, DFT GGA-PBE
data_CrP2Se
_chemical_formula_sum 'Cr1 P2 Se1'
_space_group_name_H-M_alt 'P 1 m 1'
_space_group_IT_number 6
_cell_length_a 4.3377
_cell_length_b 3.2657
_cell_length_c 6.0443
_cell_angle_alpha 90.00
_cell_angle_beta 91.75
_cell_angle_gamma 90.00
loop_
_space_group_symop_operation_xyz
'x,y,z'
'x,-y,z'
loop_
_atom_site_label
_atom_site_type_symbol
_atom_site_fract_x
_atom_site_fract_y
_atom_site_fract_z
Cr1 Cr 0.0000 0.0000 0.0000
P1 P 0.2220 0.5000 0.7022
P2 P 0.4952 0.0000 0.8530
Se1 Se 0.8921 0.5000 0.2637
# **ΔE_f (raw)**: -0.059 eV per atom
# **Fermi-level density of states**: 1.30 states/eV/cell

***

[4]
# CdTcMo, relaxed, DFT GGA-PBE
data_CdTcMo
_chemical_formula_sum 'Cd1 Tc1 Mo1'
_space_group_name_H-M_alt 'P 3 m 1'
_space_group_IT_number 156
_cell_length_a 2.9006
_cell_length_b 2.9006
_cell_length_c 7.0075
_cell_angle_alpha 90.00
_cell_angle_beta 90.00
_cell_angle_gamma 120.00
loop_
_space_group_symop_operation_xyz
'x,y,z'
'-y,x-y,z'
'-x+y,-x,z'
'-y,-x,z'
'-x+y,y,z'
'x,x-y,z'
loop_
_atom_site_label
_atom_site_type_symbol
_atom_site_fract_x
_atom_site_fract_y
_atom_site_fract_z
Cd1 Cd 0.0000 0.0000 0.0000
Tc1 Tc 0.3333 0.6667 0.3538
Mo1 Mo 0.6667 0.3333 0.6355
# **Fermi-level density of states**: 2.56 states/eV/cell
# **Energy above the lowest structure with this stoichiometry**: 0.0443 eV per atom
# **Energy of formation**: 0.29 eV/atom